4
Lattice="-2.873 0.957 -0.556 0.490 -1.636 -5.344 -2.106 -5.464 1.479" Properties=species:S:1:pos:R:3 comment="AlHg2Te PBE relaxed" magnetic_moment_mub_per_fu=0.00 total_energy_ev_per_cell=-6.7 e_above_lowest_polymorph_mev_per_atom=299 raw_formation_energy_ev_per_atom=0.191 sg="Pmmm (47)" pbc="T T T"
Hg -2.100 -5.449 1.475
Al -2.771 -4.437 -1.841
Te -1.718 -1.705 -2.580
Hg -1.059 -2.747 0.744